Entry from the Alexandria database: a geometry-optimized SrLi4Zn2Cd structure (PBE).

abc: 4.596 4.596 9.646
angles: 76.22 76.22 60.00
Sites, in units of the cell vectors:
1 Li 0.407 0.407 0.780
2 Zn 0.237 0.237 0.288
3 Li 0.593 0.593 0.220
4 Li 0.867 0.867 0.398
5 Cd 0.500 0.500 0.500
6 Li 0.133 0.133 0.602
7 Zn 0.763 0.763 0.712
8 Sr 0.000 0.000 0.000

**Mass density**: 3.51 g/cm³
**Density of states at the Fermi level**: 3.7 states/eV/cell
**Calculated formation energy**: -104 meV/atom
**Spin magnetization**: 0.00 μB/f.u.